A relaxed GaSCl2 crystal. Source: Alexandria via LeMat-Bulk, functional GGA-PBE.

abc: 9.3545 9.3545 4.7169
angles: 90.00 90.00 90.00
Fractional coordinates of all 16 atoms:
Ga (0.0000, 0.0000, 0.0000)
Ga (0.0000, 0.5000, 0.2500)
Ga (0.5000, 0.0000, 0.7500)
Ga (0.5000, 0.5000, 0.5000)
S (0.0000, 0.0000, 0.5000)
S (0.0000, 0.5000, 0.7500)
S (0.5000, 0.0000, 0.2500)
S (0.5000, 0.5000, 0.0000)
Cl (0.0810, 0.7500, 0.1250)
Cl (0.2500, 0.0810, 0.8750)
Cl (0.2500, 0.4190, 0.3750)
Cl (0.4190, 0.7500, 0.6250)
Cl (0.5810, 0.2500, 0.6250)
Cl (0.7500, 0.5810, 0.3750)
Cl (0.7500, 0.9190, 0.8750)
Cl (0.9190, 0.2500, 0.1250)

Results
The energy relative to the lowest polymorph listed for this composition is 0.00 eV/f.u. The calculation puts the formation energy (no corrections) at -0.746 eV/f.u.